{
  "formula": "Li2SnBiC",
  "functional": "PBE",
  "state": "optimized geometry",
  "formation_enthalpy_0k_ev_per_fu": 1.96,
  "dos_ef_per_ev_fu": 3.51,
  "vol_a3_per_cell": 93.7,
  "lattice": [[4.637, 0.000, 0.000], [0.000, 4.637, 0.000], [0.000, 0.000, 4.358]],
  "species": ["Li", "Li", "Sn", "Bi", "C"],
  "fractional_positions": [[0.000, 0.500, 0.000], [0.500, 0.000, 0.000], [0.000, 0.000, 0.500], [0.500, 0.500, 0.500], [0.000, 0.000, 0.000]]
}